Density functional theory data (PBE) for a relaxed LaMgGaBr2 crystal.

Computed properties:
DOS at the Fermi energy	4.57	states/eV/f.u.
size of the total moment	0.0	μB per formula unit
calculated volume	42.4	A^3/atom
raw formation energy	-0.532	eV per atom

Cell lengths 5.799, 6.299, 5.799 Å; angles 90.00, 90.00, 90.00 degrees
Atoms (fractional coordinates):
Mg 0.500 0.500 0.500
Br 0.000 0.000 0.500
Br 0.500 0.000 0.000
La 0.000 0.000 0.000
Ga 0.000 0.500 0.000